# 1
{
  "formula": "NdEr12Sc7",
  "functional": "PBE",
  "state": "optimized geometry",
  "de_polymorph_mev_per_atom": 0.0,
  "space_group": "R-3m (166)",
  "ef_ev_per_atom": 0.154,
  "lattice": [[8.428, 0.435, 0.653], [-1.926, 8.217, 0.653], [-1.926, -2.562, 7.834]],
  "species": ["Er", "Er", "Er", "Er", "Er", "Er", "Er", "Er", "Er", "Er", "Er", "Er", "Sc", "Sc", "Sc", "Sc", "Sc", "Sc", "Sc", "Nd"],
  "frac_coords": [[0.738, 0.000, 0.262], [0.600, 0.600, 0.167], [0.600, 0.167, 0.600], [0.400, 0.400, 0.833], [0.833, 0.400, 0.400], [0.167, 0.600, 0.600], [0.000, 0.738, 0.262], [0.400, 0.833, 0.400], [0.000, 0.262, 0.738], [0.738, 0.262, 0.000], [0.262, 0.000, 0.738], [0.262, 0.738, 0.000], [0.846, 0.586, 0.846], [0.414, 0.154, 0.154], [0.154, 0.154, 0.414], [0.154, 0.414, 0.154], [0.846, 0.846, 0.586], [0.586, 0.846, 0.846], [0.500, 0.500, 0.500], [0.000, 0.000, 0.000]]
}


# 2
{
  "formula": "Nd3PaIn3Te8",
  "functional": "PBE",
  "state": "optimized geometry",
  "space_group": "R-3m (166)",
  "raw_formation_energy_ev_per_atom": -0.948,
  "lattice": [[8.952, 0.000, 0.000], [-4.476, 7.752, -0.032], [0.000, -5.137, 8.203]],
  "species": ["Te", "Te", "Te", "Te", "Te", "Te", "Te", "Te", "Nd", "Nd", "Nd", "In", "In", "In", "Pa"],
  "frac_coords": [[0.765, 0.013, 0.278], [0.235, 0.987, 0.722], [0.743, 0.485, 0.728], [0.249, 0.013, 0.278], [0.257, 0.515, 0.272], [0.751, 0.987, 0.722], [0.235, 0.471, 0.722], [0.765, 0.529, 0.278], [0.500, 0.500, 0.500], [0.500, 0.000, 0.500], [0.000, 0.500, 0.500], [0.500, 0.500, 0.000], [0.000, 0.500, 0.000], [0.000, 0.000, 0.000], [0.000, 0.000, 0.500]]
}